No. 1
First-principles (GGA-PBE) data for a geometry-optimized Ca2CuPtN structure, as listed in Alexandria via LeMat-Bulk.

Computed properties:
Uncorrected formation energy   -632 meV/atom
V   18.07 A^3/atom
Symmetry   P4/mmm (123)
Energy relative to the lowest polymorph listed for this composition   0 meV per atom
D(E_F)   0.241 states/eV per atom

Lattice parameters (Å, degrees): 4.936 4.936 3.707 90.00 90.00 90.00
Fractional coordinates of all 5 atoms:
Ca (0.000, 0.500, 0.000)
Ca (0.500, 0.000, 0.000)
Cu (0.000, 0.000, 0.500)
Pt (0.500, 0.500, 0.500)
N (0.000, 0.000, 0.000)

No. 2
First-principles (GGA-PBE) data for a geometry-optimized DyHfCuOs structure, as listed in Alexandria via LeMat-Bulk.

Computed properties:
V   18.62 A^3/atom
Symmetry   F-43m (216)
D(E_F)   0.784 states/eV per atom
ΔH_f (0 K)   -0.29 eV per atom

Lattice parameters (Å, degrees): 4.722 4.722 4.722 60.00 60.00 60.00
Fractional coordinates of all 4 atoms:
Dy (0.000, 0.000, 0.000)
Hf (0.500, 0.500, 0.500)
Cu (0.250, 0.250, 0.250)
Os (0.750, 0.750, 0.750)

No. 3
First-principles (GGA-PBE) data for a geometry-optimized NpH6I12 structure, as listed in Alexandria via LeMat-Bulk.

Computed properties:
V   44.24 A^3/atom
Uncorrected energy   -0.2126 Ry/atom
Symmetry   R-3 (148)

Lattice parameters (Å, degrees): 9.458 9.458 9.458 86.15 86.15 86.15
Fractional coordinates of all 19 atoms:
Np (0.000, 0.000, 0.000)
H (0.308, 0.527, 0.326)
H (0.326, 0.308, 0.527)
H (0.473, 0.674, 0.692)
H (0.527, 0.326, 0.308)
H (0.674, 0.692, 0.473)
H (0.692, 0.473, 0.674)
I (0.075, 0.714, 0.925)
I (0.075, 0.925, 0.286)
I (0.186, 0.421, 0.557)
I (0.286, 0.075, 0.925)
I (0.421, 0.557, 0.186)
I (0.443, 0.814, 0.579)
I (0.557, 0.186, 0.421)
I (0.579, 0.443, 0.814)
I (0.714, 0.925, 0.075)
I (0.814, 0.579, 0.443)
I (0.925, 0.075, 0.714)
I (0.925, 0.286, 0.075)

No. 4
First-principles (GGA-PBE) data for a geometry-optimized Li2Ca8Cd structure, as listed in Alexandria via LeMat-Bulk.

Computed properties:
V   35.66 A^3/atom
Symmetry   C2/m (12)
Energy relative to the lowest polymorph listed for this composition   0 meV per atom
D(E_F)   1.083 states/eV per atom
ΔH_f (0 K)   -0.03 eV per atom

Lattice parameters (Å, degrees): 9.884 9.884 7.740 108.63 108.63 33.38
Fractional coordinates of all 11 atoms:
Li (0.180, 0.180, 0.195)
Li (0.820, 0.820, 0.805)
Ca (0.025, 0.025, 0.284)
Ca (0.194, 0.194, 0.790)
Ca (0.336, 0.336, 0.541)
Ca (0.407, 0.407, 0.057)
Ca (0.593, 0.593, 0.943)
Ca (0.664, 0.664, 0.459)
Ca (0.806, 0.806, 0.210)
Ca (0.975, 0.975, 0.716)
Cd (0.500, 0.500, 0.500)

No. 5
First-principles (GGA-PBE) data for a geometry-optimized V2Te3H structure, as listed in Alexandria via LeMat-Bulk.

Computed properties:
V   22.02 A^3/atom
Uncorrected energy   -0.3942 Ry/atom
Symmetry   C2/m (12)
D(E_F)   0.410 states/eV per atom

Lattice parameters (Å, degrees): 8.998 8.998 10.760 125.44 125.44 22.08
Fractional coordinates of all 12 atoms:
V (0.056, 0.056, 0.147)
V (0.379, 0.379, 0.018)
V (0.621, 0.621, 0.982)
V (0.944, 0.944, 0.853)
Te (0.173, 0.173, 0.849)
Te (0.299, 0.299, 0.711)
Te (0.469, 0.469, 0.686)
Te (0.531, 0.531, 0.314)
Te (0.701, 0.701, 0.289)
Te (0.827, 0.827, 0.151)
H (0.071, 0.071, 0.992)
H (0.929, 0.929, 0.008)

No. 6
First-principles (GGA-PBE) data for a geometry-optimized TaMoIr2I structure, as listed in Alexandria via LeMat-Bulk.

Computed properties:
Uncorrected formation energy   2164 meV/atom
V   21.89 A^3/atom
Symmetry   P4/mmm (123)
D(E_F)   1.044 states/eV per atom

Lattice parameters (Å, degrees): 4.778 4.778 4.792 90.00 90.00 90.00
Fractional coordinates of all 5 atoms:
Ta (0.000, 0.000, 0.000)
Mo (0.500, 0.500, 0.000)
Ir (0.000, 0.500, 0.500)
Ir (0.500, 0.000, 0.500)
I (0.500, 0.500, 0.500)

No. 7
First-principles (GGA-PBE) data for a geometry-optimized NiAsSe2Br structure, as listed in Alexandria via LeMat-Bulk.

Computed properties:
Uncorrected formation energy   1482 meV/atom
V   26.38 A^3/atom
Symmetry   P4/mmm (123)
Energy relative to the lowest polymorph listed for this composition   1076 meV per atom
D(E_F)   2.172 states/eV per atom

Lattice parameters (Å, degrees): 5.066 5.066 5.141 90.00 90.00 90.00
Fractional coordinates of all 5 atoms:
Ni (0.000, 0.000, 0.000)
As (0.500, 0.500, 0.000)
Se (0.000, 0.500, 0.500)
Se (0.500, 0.000, 0.500)
Br (0.500, 0.500, 0.500)

No. 8
First-principles (GGA-PBE) data for a geometry-optimized NaPu2AuO8 structure, as listed in Alexandria via LeMat-Bulk.

Computed properties:
Uncorrected formation energy   -1556 meV/atom
V   15.86 A^3/atom
Symmetry   P-3 (147)
D(E_F)   0.523 states/eV per atom

Lattice parameters (Å, degrees): 5.971 5.971 6.164 90.00 90.00 120.00
Fractional coordinates of all 12 atoms:
Na (0.000, 0.000, 0.000)
Pu (0.333, 0.667, 0.427)
Pu (0.667, 0.333, 0.573)
Au (0.000, 0.000, 0.500)
O (0.063, 0.379, 0.646)
O (0.315, 0.937, 0.646)
O (0.333, 0.667, 0.127)
O (0.379, 0.315, 0.354)
O (0.621, 0.685, 0.646)
O (0.667, 0.333, 0.873)
O (0.685, 0.063, 0.354)
O (0.937, 0.621, 0.354)

No. 9
First-principles (GGA-PBE) data for a geometry-optimized ErPuTc structure, as listed in Alexandria via LeMat-Bulk.

Computed properties:
V   21.90 A^3/atom
Symmetry   P-6m2 (187)
Energy relative to the lowest polymorph listed for this composition   51 meV per atom
D(E_F)   2.221 states/eV per atom
ΔH_f (0 K)   0.05 eV per atom

Lattice parameters (Å, degrees): 4.653 4.653 3.503 90.00 90.00 120.00
Fractional coordinates of all 3 atoms:
Er (0.000, 0.000, 0.000)
Pu (0.333, 0.667, 0.500)
Tc (0.667, 0.333, 0.500)

No. 10
First-principles (GGA-PBE) data for a geometry-optimized ZnFe6Ir structure, as listed in Alexandria via LeMat-Bulk.

Computed properties:
V   12.32 A^3/atom
Symmetry   Cmmm (65)
D(E_F)   1.204 states/eV per atom
ΔH_f (0 K)   0.04 eV per atom

Lattice parameters (Å, degrees): 6.345 6.345 10.408 90.00 90.00 109.82
Fractional coordinates of all 32 atoms:
Zn (0.000, 0.000, 0.250)
Zn (0.000, 0.000, 0.750)
Zn (0.252, 0.748, 0.000)
Zn (0.748, 0.252, 0.000)
Fe (0.000, 0.000, 0.000)
Fe (0.000, 0.000, 0.500)
Fe (0.119, 0.372, 0.123)
Fe (0.119, 0.372, 0.877)
Fe (0.127, 0.375, 0.373)
Fe (0.127, 0.375, 0.627)
Fe (0.248, 0.752, 0.248)
Fe (0.248, 0.752, 0.752)
Fe (0.372, 0.119, 0.123)
Fe (0.372, 0.119, 0.877)
Fe (0.375, 0.127, 0.373)
Fe (0.375, 0.127, 0.627)
Fe (0.500, 0.500, 0.000)
Fe (0.500, 0.500, 0.500)
Fe (0.625, 0.873, 0.373)
Fe (0.625, 0.873, 0.627)
Fe (0.628, 0.881, 0.123)
Fe (0.628, 0.881, 0.877)
Fe (0.752, 0.248, 0.248)
Fe (0.752, 0.248, 0.752)
Fe (0.873, 0.625, 0.373)
Fe (0.873, 0.625, 0.627)
Fe (0.881, 0.628, 0.123)
Fe (0.881, 0.628, 0.877)
Ir (0.246, 0.754, 0.500)
Ir (0.500, 0.500, 0.248)
Ir (0.500, 0.500, 0.752)
Ir (0.754, 0.246, 0.500)

No. 11
First-principles (GGA-PBE) data for a geometry-optimized BaRhSe2Br structure, as listed in Alexandria via LeMat-Bulk.

Computed properties:
Uncorrected formation energy   814 meV/atom
V   43.80 A^3/atom
Symmetry   P4/mmm (123)
Energy relative to the lowest polymorph listed for this composition   1692 meV per atom
D(E_F)   0.971 states/eV per atom

Lattice parameters (Å, degrees): 6.249 6.249 5.608 90.00 90.00 90.00
Fractional coordinates of all 5 atoms:
Ba (0.000, 0.000, 0.000)
Rh (0.000, 0.000, 0.500)
Se (0.000, 0.500, 0.000)
Se (0.500, 0.000, 0.000)
Br (0.500, 0.500, 0.500)

No. 12
First-principles (GGA-PBE) data for a geometry-optimized LiTl2HPb structure, as listed in Alexandria via LeMat-Bulk.

Computed properties:
V   23.40 A^3/atom
Uncorrected energy   -0.2026 Ry/atom
Symmetry   P4/mmm (123)
D(E_F)   0.322 states/eV per atom

Lattice parameters (Å, degrees): 5.686 5.686 3.619 90.00 90.00 90.00
Fractional coordinates of all 5 atoms:
Li (0.000, 0.000, 0.000)
Tl (0.000, 0.500, 0.500)
Tl (0.500, 0.000, 0.500)
H (0.000, 0.000, 0.500)
Pb (0.500, 0.500, 0.000)

- The highest V belongs to which entry?
  NpH6I12

Repeat the first record exactly.
First-principles (GGA-PBE) data for a geometry-optimized Ca2CuPtN structure, as listed in Alexandria via LeMat-Bulk.

Computed properties:
Uncorrected formation energy   -632 meV/atom
V   18.07 A^3/atom
Symmetry   P4/mmm (123)
Energy relative to the lowest polymorph listed for this composition   0 meV per atom
D(E_F)   0.241 states/eV per atom

Lattice parameters (Å, degrees): 4.936 4.936 3.707 90.00 90.00 90.00
Fractional coordinates of all 5 atoms:
Ca (0.000, 0.500, 0.000)
Ca (0.500, 0.000, 0.000)
Cu (0.000, 0.000, 0.500)
Pt (0.500, 0.500, 0.500)
N (0.000, 0.000, 0.000)

- Number 12 is which compound?
  LiTl2HPb

- V of number 6 (TaMoIr2I)?
  21.89 A^3/atom